Entry 1:
# Na2TiV2

A geometry-optimized Na2TiV2 structure (PBE, the Alexandria database).

Cell lengths 8.725, 8.725, 2.467 Å; angles 90.00, 90.00, 90.00 degrees
Each line ends with the local moment (μB).
Element x y z (fractional)
Na1 0.391 0.891 0.000  0.01
Ti1 0.500 0.500 0.000  -0.30
V1 0.693 0.807 0.500  0.79
Na2 0.109 0.391 0.000  0.01
Na3 0.891 0.609 0.000  0.01
Ti2 0.000 0.000 0.000  -0.30
V2 0.807 0.307 0.500  0.79
Na4 0.609 0.109 0.000  0.01
V3 0.307 0.193 0.500  0.79
V4 0.193 0.693 0.500  0.79

Calculated values
Formation enthalpy at 0 K = 1.28 eV/atom
Space group = No. 127
Offset from the most stable computed form = 0.357 eV per atom

Entry 2:
# NaTiV2

A geometry-optimized NaTiV2 structure (PBE, the Alexandria database).

Cell lengths 3.761, 3.761, 9.874 Å; angles 79.02, 79.02, 90.00 degrees
Element x y z (fractional)
V1 0.875 0.900 0.750
V2 0.375 0.350 0.750
V3 0.650 0.125 0.250
V4 0.100 0.625 0.250
Na1 0.500 0.500 0.000
Ti1 0.000 0.000 0.000
Ti2 0.750 0.250 0.500
Na2 0.250 0.750 0.500

Calculated values
Formation enthalpy at 0 K = 1.08 eV/atom
Space group = No. 122
Offset from the most stable computed form = 0.084 eV per atom

Entry 3:
# Na2TiV2

A geometry-optimized Na2TiV2 structure (PBE, the Alexandria database).

Cell lengths 3.213, 3.213, 11.504 Å; angles 81.97, 81.97, 90.00 degrees
Each line ends with the local moment (μB).
Element x y z (fractional)
V1 0.250 0.750 0.500  0.11
Ti1 0.000 0.000 0.000  1.71
Na1 0.620 0.620 0.760  0.01
V2 0.750 0.250 0.500  0.11
Na2 0.380 0.380 0.240  0.01

Calculated values
Formation enthalpy at 0 K = 0.92 eV/atom
Space group = No. 139
Offset from the most stable computed form = 0.000 eV per atom

The records above give, respectively, density of states at the Fermi level values of 0.784, 1.312, 1.116 states/eV/atom.